1.
Entry from the Alexandria database: a relaxed structure of PmSmErAg (GGA-PBE).

Calculated values
Space-group type ... F-43m, No. 216
N(E_F) ... 1.674 states/eV/atom
Energy of formation ... 0.41 eV/f.u.
Energy above the lowest structure with this stoichiometry ... 0.230 eV per atom

Cell lengths 5.439, 5.439, 5.439 Å; angles 60.00, 60.00, 60.00 degrees
Element x y z (fractional)
Pm 0.750 0.750 0.750
Ag 0.250 0.250 0.250
Sm 0.500 0.500 0.500
Er 0.000 0.000 0.000

2.
Entry from the Alexandria database: a relaxed structure of PmErAgSn (GGA-PBE).

Calculated values
Space-group type ... F-43m, No. 216
N(E_F) ... 1.030 states/eV/atom
Energy of formation ... -2.01 eV/f.u.

Cell lengths 5.278, 5.278, 5.278 Å; angles 60.00, 60.00, 60.00 degrees
Element x y z (fractional)
Sn 0.250 0.250 0.250
Er 0.500 0.500 0.500
Pm 0.000 0.000 0.000
Ag 0.750 0.750 0.750

3.
Entry from the Alexandria database: a relaxed structure of TbPmErAg (GGA-PBE).

Calculated values
Space-group type ... P4mm, No. 99
N(E_F) ... 1.408 states/eV/atom
Energy of formation ... -0.53 eV/f.u.
Energy above the lowest structure with this stoichiometry ... 0.000 eV per atom

Cell lengths 3.622, 3.622, 8.688 Å; angles 90.00, 90.00, 90.00 degrees
Element x y z (fractional)
Tb 0.500 0.500 0.781
Er 0.500 0.500 0.364
Pm 0.000 0.000 0.074
Ag 0.000 0.000 0.566

4.
Entry from the Alexandria database: a relaxed structure of TbPmErAg (GGA-PBE).

Calculated values
Space-group type ... F-43m, No. 216
N(E_F) ... 1.534 states/eV/atom
Energy of formation ... 0.40 eV/f.u.
Energy above the lowest structure with this stoichiometry ... 0.233 eV per atom

Cell lengths 5.405, 5.405, 5.405 Å; angles 60.00, 60.00, 60.00 degrees
Element x y z (fractional)
Er 0.500 0.500 0.500
Pm 0.750 0.750 0.750
Tb 0.000 0.000 0.000
Ag 0.250 0.250 0.250

5.
Entry from the Alexandria database: a relaxed structure of Pm2ErAgTe5 (GGA-PBE).

Calculated values
Space-group type ... Cmc2_1, No. 36
Electronic total energy ... -43.10 eV per formula unit
N(E_F) ... 0.012 states/eV/atom

Cell lengths 4.368, 9.669, 13.276 Å; angles 90.00, 90.00, 103.05 degrees
Element x y z (fractional)
Er 0.808 0.616 0.509
Pm 0.889 0.778 0.187
Te 0.502 0.003 0.279
Te 0.305 0.611 0.341
Ag 0.431 0.862 0.460
Pm 0.111 0.222 0.687
Pm 0.874 0.748 0.804
Ag 0.569 0.138 0.960
Te 0.957 0.915 0.578
Te 0.286 0.572 0.667
Te 0.695 0.389 0.841
Te 0.644 0.288 0.499
Te 0.714 0.428 0.167
Te 0.043 0.085 0.078
Pm 0.126 0.252 0.304
Te 0.356 0.712 0.999
Te 0.498 0.997 0.779
Er 0.192 0.384 0.009

6.
Entry from the Alexandria database: a relaxed structure of PmEr2Ag3Te6 (GGA-PBE).

Calculated values
Space-group type ... C2/m, No. 12
Electronic total energy ... -51.65 eV per formula unit

Cell lengths 4.457, 10.640, 8.894 Å; angles 105.92, 104.51, 90.00 degrees
Element x y z (fractional)
Ag 0.171 0.970 0.342
Te 0.984 0.206 0.968
Ag 0.829 0.030 0.658
Pm 0.500 0.000 0.000
Te 0.657 0.523 0.314
Te 0.016 0.794 0.032
Ag 0.500 0.500 0.000
Te 0.696 0.147 0.391
Te 0.304 0.853 0.609
Te 0.343 0.477 0.686
Er 0.163 0.331 0.327
Er 0.837 0.669 0.673

7.
Entry from the Alexandria database: a relaxed structure of PmErAg2Te4 (GGA-PBE).

Calculated values
Space-group type ... I222, No. 23
Electronic total energy ... -33.24 eV per formula unit
N(E_F) ... 0.001 states/eV/atom

Cell lengths 7.510, 7.096, 7.096 Å; angles 78.11, 58.05, 58.05 degrees
Element x y z (fractional)
Te 0.480 0.554 0.915
Ag 0.812 0.688 0.688
Te 0.051 0.915 0.554
Te 0.520 0.085 0.446
Pm 0.000 0.000 0.000
Er 0.500 0.500 0.500
Te 0.949 0.446 0.085
Ag 0.188 0.312 0.312

8.
Entry from the Alexandria database: a relaxed structure of Pm2ErAg3Te6 (GGA-PBE).

Calculated values
Space-group type ... C2/m, No. 12
Electronic total energy ... -51.69 eV per formula unit

Cell lengths 4.443, 8.535, 10.158 Å; angles 102.67, 102.63, 90.00 degrees
Element x y z (fractional)
Te 0.339 0.429 0.678
Ag 0.794 0.229 0.587
Te 0.341 0.961 0.683
Te 0.661 0.571 0.322
Te 0.009 0.255 0.018
Er 0.500 0.000 0.000
Ag 0.206 0.771 0.413
Ag 0.500 0.500 0.000
Pm 0.828 0.693 0.657
Te 0.659 0.039 0.317
Pm 0.172 0.307 0.343
Te 0.991 0.745 0.982